Record 1
A relaxed Nb2CrSbH crystal, computed with PBE-GGA.

Summary:
The calculation puts the total DFT energy (no corrections) at -7.49 eV/atom.

Cell and atoms, written as POSCAR:
```
Nb2CrSbH
1.0
4.1239 0.0000 0.0000
0.0000 4.1239 0.0000
0.0000 0.0000 4.2652
Nb Cr Sb H
2 1 1 1
Cartesian
0.0000 2.0620 0.0000
2.0620 0.0000 0.0000
0.0000 0.0000 2.1326
2.0620 2.0620 2.1326
0.0000 0.0000 0.0000
```

---

Record 2
A relaxed Nb2CrSiH crystal, computed with PBE-GGA.

Summary:
The calculation puts the total DFT energy (no corrections) at -7.90 eV/atom.

Cell and atoms, written as POSCAR:
```
Nb2CrSiH
1.0
4.1123 0.0000 0.0000
0.0000 4.1123 0.0000
0.0000 0.0000 3.7590
Nb Cr Si H
2 1 1 1
Cartesian
0.0000 2.0561 0.0000
2.0561 0.0000 0.0000
0.0000 0.0000 1.8795
2.0561 2.0561 1.8795
0.0000 0.0000 0.0000
```

---

V per entry: 72.5 63.6 Å³/cell